# TiAl2W2 | the Alexandria database | PBE-GGA | relaxed
data_TiAl2W2
_cell_length_a 6.758
_cell_length_b 6.758
_cell_length_c 3.417
_cell_angle_alpha 90.00
_cell_angle_beta 90.00
_cell_angle_gamma 90.00
_space_group_name_H-M_alt 'P 4/m b m'
_space_group_IT_number 127
_space_group_name_Hall '-P 4 2ab'
loop_
_atom_site_label
_atom_site_type_symbol
_atom_site_fract_x
_atom_site_fract_y
_atom_site_fract_z
Ti1 Ti 0.000 0.000 0.000
Al1 Al 0.128 0.372 0.000
W1 W 0.172 0.672 0.500
# Final energy   -83.1 eV per cell